A plane-wave DFT calculation with GGA-PBE was carried out for Cu2Ni3 after structural relaxation.

a b c (Å): 3.8923 3.8923 4.8157
angles (deg): 90.00 90.00 120.00
Space group P-3m1 (No. 164)
Unique sites:
Cu: 0.3333 0.6667 0.3514 x2
Ni: 0.0000 0.0000 0.5000 x1
Ni: 0.3333 0.6667 0.8621 x2

Offset from the most stable computed form   368 meV/atom
ΔE_f   0.38 eV per atom
Calculated density   8.0 Mg/m³
Energy   -23.6 eV/cell
Volume   12.64 A^3/atom